# 1
FeC3: relaxed, GGA-PBE.

Calculated values
- DOS at the Fermi energy (states/eV/cell) = 1.500
- energy above the most stable polymorph in this dataset (meV/atom) = 237

Unit cell a=3.6282 b=2.5801 c=3.5947 alpha=90.00 beta=90.00 gamma=90.00
Last column: nearest neighbours and their distance in Å.
Element x y z (fractional)
C1 0.0000 0.5000 0.2565  2 C 1.46
C2 0.6933 0.5000 0.9941  2 C 1.40-1.46
C3 0.3067 0.5000 0.9941  2 C 1.40-1.46
Fe1 0.0000 0.0000 0.7069  6 C 1.99-2.07

# 2
FeC2: relaxed, GGA-PBE.

Calculated values
- DOS at the Fermi energy (states/eV/cell) = 4.009
- energy above the most stable polymorph in this dataset (meV/atom) = 221

Unit cell a=5.3784 b=5.3784 c=3.4544 alpha=85.44 beta=85.44 gamma=27.15
Last column: nearest neighbours and their distance in Å.
Element x y z (fractional)
Fe1 0.1119 0.1119 0.9776  5 C 1.93-2.08
Fe2 0.8881 0.8881 0.0224  5 C 1.93-2.08
C1 0.7653 0.7653 0.5926  2 C 1.46
C2 0.5107 0.5107 0.2938  1 C 1.42
C3 0.4893 0.4893 0.7062  1 C 1.42
C4 0.2347 0.2347 0.4074  2 C 1.46

# 3
FeC2: relaxed, GGA-PBE.

Calculated values
- DOS at the Fermi energy (states/eV/cell) = 4.859
- energy above the most stable polymorph in this dataset (meV/atom) = 1608

Unit cell a=3.8797 b=3.8797 c=3.7382 alpha=90.00 beta=90.00 gamma=120.00
Last column: nearest neighbours and their distance in Å.
Element x y z (fractional)
Fe1 0.6667 0.3333 0.2500  2 C 1.87
Fe2 0.3333 0.6667 0.7500  2 C 1.87
C1 0.0000 0.0000 0.0000  2 C 1.87
C2 0.0000 0.0000 0.5000  2 C 1.87
C3 0.3333 0.6667 0.2500  2 Fe 1.87
C4 0.6667 0.3333 0.7500  2 Fe 1.87

# 4
FeC2: relaxed, GGA-PBE.

Calculated values
- DOS at the Fermi energy (states/eV/cell) = 1.046
- energy above the most stable polymorph in this dataset (meV/atom) = 1240

Unit cell a=3.6815 b=3.6815 c=3.6815 alpha=139.02 beta=139.02 gamma=59.35
Last column: nearest neighbours and their distance in Å.
Element x y z (fractional)
C1 0.6823 0.6823 0.0000  4 C 2.02, 5 Fe 2.03-2.16
C2 0.3177 0.3177 0.0000  4 C 2.02, 5 Fe 2.03-2.16
Fe1 0.0000 0.0000 0.0000  10 C 2.03-2.16

# 5
Fe7C6: relaxed, GGA-PBE.

Calculated values
- DOS at the Fermi energy (states/eV/cell) = 9.088

Unit cell a=6.9824 b=6.9824 c=6.9824 alpha=41.00 beta=41.00 gamma=41.00
Last column: nearest neighbours and their distance in Å.
Element x y z (fractional)
C1 0.1110 0.1110 0.1110  1 C 1.39
C2 0.8890 0.8890 0.8890  1 C 1.39
C3 0.1837 0.1837 0.1837  1 C 1.39
C4 0.8163 0.8163 0.8163  1 C 1.39
C5 0.3373 0.3373 0.3373  6 Fe 1.93-1.96
C6 0.6627 0.6627 0.6627  6 Fe 1.93-1.96
Fe1 0.5758 0.5758 0.0572  3 C 1.93-2.05
Fe2 0.0572 0.5758 0.5758  3 C 1.93-2.05
Fe3 0.5758 0.0572 0.5758  3 C 1.93-2.05
Fe4 0.4242 0.4242 0.9428  3 C 1.93-2.05
Fe5 0.4242 0.9428 0.4242  3 C 1.93-2.05
Fe6 0.9428 0.4242 0.4242  3 C 1.93-2.05
Fe7 0.5000 0.5000 0.5000  6 Fe 2.37

# 6
Fe5C7: relaxed, GGA-PBE.

Calculated values
- DOS at the Fermi energy (states/eV/cell) = 7.383

Unit cell a=5.1455 b=5.1455 c=5.1455 alpha=104.00 beta=104.00 gamma=121.07
Last column: nearest neighbours and their distance in Å.
Element x y z (fractional)
C1 0.3129 0.3129 0.0000  5 Fe 1.88-1.99
C2 0.8624 0.3624 0.5000  2 C 1.34
C3 0.3624 0.8624 0.5000  2 C 1.34
C4 0.5156 0.8085 0.7071  1 C 1.34
C5 0.1014 0.8085 0.2929  1 C 1.34
C6 0.8085 0.5156 0.7071  1 C 1.34
C7 0.8085 0.1014 0.2929  1 C 1.34
Fe1 0.9410 0.9410 0.0000  5 C 1.88-1.97
Fe2 0.6936 0.6936 0.3935  5 C 1.99-2.15
Fe3 0.3001 0.3001 0.6065  5 C 1.99-2.15
Fe4 0.3001 0.6936 0.0000  5 C 1.99-2.15
Fe5 0.6936 0.3001 0.0000  5 C 1.99-2.15

# 7
FeC3: relaxed, GGA-PBE.

Calculated values
- energy above the most stable polymorph in this dataset (meV/atom) = 1306

Unit cell a=3.7028 b=3.7028 c=16.9797 alpha=90.00 beta=90.00 gamma=120.00
Last column: nearest neighbours and their distance in Å.
Element x y z (fractional)
C1 0.5000 0.0000 0.0000  4 C 1.85, 2 Fe 1.85
C2 0.5000 0.0000 0.5000  4 C 1.85, 2 Fe 1.85
C3 0.0000 0.5000 0.0000  2 Fe 1.85, 4 C 1.85
C4 0.5000 0.5000 0.0000  4 C 1.85, 2 Fe 1.85
C5 0.5000 0.5000 0.5000  4 C 1.85, 2 Fe 1.85
C6 0.0000 0.5000 0.5000  2 Fe 1.85, 4 C 1.85
C7 0.8699 0.7399 0.2500  2 C 1.44
C8 0.1301 0.2601 0.7500  2 C 1.44
C9 0.2601 0.1301 0.2500  2 C 1.44
C10 0.8699 0.1301 0.2500  2 C 1.44
C11 0.1301 0.8699 0.7500  2 C 1.44
C12 0.7399 0.8699 0.7500  2 C 1.44
Fe1 0.0000 0.0000 0.0000  6 C 1.85
Fe2 0.0000 0.0000 0.5000  6 C 1.85
Fe3 0.3333 0.6667 0.2500  6 C 1.87
Fe4 0.6667 0.3333 0.7500  6 C 1.87

# 8
FeC2: relaxed, GGA-PBE.

Calculated values
- DOS at the Fermi energy (states/eV/cell) = 2.449
- energy above the most stable polymorph in this dataset (meV/atom) = 1211

Unit cell a=3.2549 b=3.2549 c=3.2549 alpha=60.00 beta=60.00 gamma=60.00
Last column: nearest neighbours and their distance in Å.
Element x y z (fractional)
C1 0.2500 0.2500 0.2500  4 Fe 1.99
C2 0.7500 0.7500 0.7500  4 Fe 1.99
Fe1 0.0000 0.0000 0.0000  8 C 1.99

# 9
Fe2C: relaxed, GGA-PBE.

Calculated values
- DOS at the Fermi energy (states/eV/cell) = 3.039

Unit cell a=4.5461 b=4.5461 c=4.5461 alpha=148.46 beta=148.46 gamma=45.20
Last column: nearest neighbours and their distance in Å.
Element x y z (fractional)
Fe1 0.6363 0.6363 0.0000  4 C 2.09, 1 Fe 2.29
Fe2 0.3637 0.3637 0.0000  4 C 2.09, 1 Fe 2.29
C1 0.0000 0.0000 0.0000  8 Fe 2.09

# 10
Fe3C2: relaxed, GGA-PBE.

Calculated values
- DOS at the Fermi energy (states/eV/cell) = 9.659

Unit cell a=4.8781 b=4.8781 c=5.1802 alpha=61.91 beta=61.91 gamma=60.00
Last column: nearest neighbours and their distance in Å.
Element x y z (fractional)
C1 0.8491 0.8491 0.4527  6 Fe 1.90-2.00
C2 0.3491 0.3491 0.9527  6 Fe 1.90-2.00
C3 0.1509 0.1509 0.5473  6 Fe 1.90-2.00
C4 0.6509 0.6509 0.0473  6 Fe 1.90-2.00
Fe1 0.0617 0.7500 0.7500  4 C 1.90-2.00
Fe2 0.7500 0.4383 0.7500  4 C 1.90-2.00
Fe3 0.4383 0.0617 0.7500  4 C 1.90-2.00
Fe4 0.2500 0.5617 0.2500  4 C 1.90-2.00
Fe5 0.5617 0.9383 0.2500  4 C 1.90-2.00
Fe6 0.9383 0.2500 0.2500  4 C 1.90-2.00

# 11
Fe2C: relaxed, GGA-PBE.

Calculated values
- DOS at the Fermi energy (states/eV/cell) = 10.859

Unit cell a=4.7844 b=4.7844 c=4.7844 alpha=90.00 beta=90.00 gamma=90.00
Last column: nearest neighbours and their distance in Å.
Element x y z (fractional)
C1 0.0000 0.0000 0.0000  6 Fe 1.96
C2 0.5000 0.5000 0.0000  6 Fe 1.96
C3 0.5000 0.0000 0.5000  6 Fe 1.96
C4 0.0000 0.5000 0.5000  6 Fe 1.96
Fe1 0.6516 0.6516 0.3484  3 C 1.96
Fe2 0.3484 0.3484 0.6516  3 C 1.96
Fe3 0.1516 0.8484 0.6516  3 C 1.96
Fe4 0.8484 0.1516 0.3484  3 C 1.96
Fe5 0.3484 0.1516 0.1516  3 C 1.96
Fe6 0.6516 0.8484 0.8484  3 C 1.96
Fe7 0.8484 0.3484 0.8484  3 C 1.96
Fe8 0.1516 0.6516 0.1516  3 C 1.96

# 12
FeC: relaxed, GGA-PBE.

Calculated values
- DOS at the Fermi energy (states/eV/cell) = 0.197

Unit cell a=4.0520 b=4.0520 c=4.0520 alpha=90.00 beta=90.00 gamma=90.00
Last column: nearest neighbours and their distance in Å.
Element x y z (fractional)
Fe1 0.3348 0.8348 0.6652  4 C 1.89-1.91
Fe2 0.1652 0.1652 0.1652  4 C 1.89-1.91
Fe3 0.6652 0.3348 0.8348  4 C 1.89-1.91
Fe4 0.8348 0.6652 0.3348  4 C 1.89-1.91
C1 0.0649 0.5649 0.9351  4 Fe 1.89-1.91
C2 0.4351 0.4351 0.4351  4 Fe 1.89-1.91
C3 0.9351 0.0649 0.5649  4 Fe 1.89-1.91
C4 0.5649 0.9351 0.0649  4 Fe 1.89-1.91

# 13
FeC: relaxed, GGA-PBE.

Calculated values
- DOS at the Fermi energy (states/eV/cell) = 13.751

Unit cell a=5.2101 b=5.2101 c=5.2101 alpha=90.00 beta=90.00 gamma=90.00
Last column: nearest neighbours and their distance in Å.
Element x y z (fractional)
Fe1 0.2500 0.5000 0.0000  4 C 1.84
Fe2 0.7500 0.5000 0.0000  4 C 1.84
Fe3 0.5000 0.0000 0.2500  4 C 1.84
Fe4 0.5000 0.0000 0.7500  4 C 1.84
Fe5 0.0000 0.2500 0.5000  4 C 1.84
Fe6 0.0000 0.7500 0.5000  4 C 1.84
C1 0.2500 0.0000 0.5000  4 Fe 1.84
C2 0.7500 0.0000 0.5000  4 Fe 1.84
C3 0.0000 0.5000 0.2500  4 Fe 1.84
C4 0.0000 0.5000 0.7500  4 Fe 1.84
C5 0.5000 0.2500 0.0000  4 Fe 1.84
C6 0.5000 0.7500 0.0000  4 Fe 1.84

# 14
FeC3: relaxed, GGA-PBE.

Calculated values
- DOS at the Fermi energy (states/eV/cell) = 0.949
- energy above the most stable polymorph in this dataset (meV/atom) = 44

Unit cell a=2.7468 b=2.4896 c=4.9351 alpha=90.00 beta=106.09 gamma=90.00
Last column: nearest neighbours and their distance in Å.
Element x y z (fractional)
C1 0.8429 0.0000 0.8086  1 C 1.48
C2 0.6865 0.0000 0.4954  3 C 1.43-1.48
C3 0.6131 0.5000 0.3486  2 C 1.43
Fe1 0.4151 0.5000 0.9534  5 C 1.87-1.98

# 15
FeC2: relaxed, GGA-PBE.

Calculated values
- DOS at the Fermi energy (states/eV/cell) = 0.352
- energy above the most stable polymorph in this dataset (meV/atom) = 882

Unit cell a=4.6978 b=4.6978 c=2.4983 alpha=90.00 beta=90.00 gamma=90.00
Last column: nearest neighbours and their distance in Å.
Element x y z (fractional)
Fe1 0.5000 0.5000 0.0000  6 C 1.89-1.90
Fe2 0.0000 0.0000 0.5000  6 C 1.89-1.90
C1 0.7856 0.7856 0.0000  3 Fe 1.89-1.90
C2 0.2144 0.2144 0.0000  3 Fe 1.89-1.90
C3 0.2856 0.7144 0.5000  3 Fe 1.89-1.90
C4 0.7144 0.2856 0.5000  3 Fe 1.89-1.90

# 16
FeC3: relaxed, GGA-PBE.

Calculated values
- DOS at the Fermi energy (states/eV/cell) = 2.551
- energy above the most stable polymorph in this dataset (meV/atom) = 1268

Unit cell a=3.2257 b=3.2257 c=5.3712 alpha=90.00 beta=90.00 gamma=137.59
Last column: nearest neighbours and their distance in Å.
Element x y z (fractional)
C1 0.0000 0.0000 0.9410  2 C 1.55
C2 0.5000 0.5000 0.7500  4 C 1.55
C3 0.0000 0.0000 0.5590  2 C 1.55
Fe1 0.5000 0.5000 0.2500  4 C 2.03

# 17
FeC: relaxed, GGA-PBE.

Calculated values
- DOS at the Fermi energy (states/eV/cell) = 5.892

Unit cell a=4.1670 b=4.1670 c=5.1592 alpha=90.00 beta=90.00 gamma=120.00
Last column: nearest neighbours and their distance in Å.
Element x y z (fractional)
Fe1 0.0000 0.0000 0.2500  5 Fe 2.41-2.58, 6 C 2.49
Fe2 0.0000 0.0000 0.7500  5 Fe 2.41-2.58, 6 C 2.49
Fe3 0.3333 0.6667 0.7500  2 C 1.92
Fe4 0.6667 0.3333 0.2500  2 C 1.92
C1 0.3333 0.6667 0.1223  1 C 1.32
C2 0.6667 0.3333 0.6223  1 C 1.32
C3 0.6667 0.3333 0.8777  1 C 1.32
C4 0.3333 0.6667 0.3777  1 C 1.32

# 18
FeC3: relaxed, GGA-PBE.

Calculated values
- DOS at the Fermi energy (states/eV/cell) = 3.505
- energy above the most stable polymorph in this dataset (meV/atom) = 297

Unit cell a=3.8761 b=3.7505 c=5.4916 alpha=90.00 beta=108.27 gamma=90.00
Last column: nearest neighbours and their distance in Å.
Element x y z (fractional)
C1 0.2181 0.0000 0.5446  2 C 1.42
C2 0.2181 0.5000 0.0446  2 C 1.42
C3 0.0031 0.6840 0.4939  2 C 1.38-1.42
C4 0.0031 0.3160 0.4939  2 C 1.38-1.42
C5 0.0031 0.1840 0.9939  2 C 1.38-1.42
C6 0.0031 0.8160 0.9939  2 C 1.38-1.42
Fe1 0.7272 0.0000 0.6510  5 C 1.87-1.98
Fe2 0.7272 0.5000 0.1510  5 C 1.87-1.98

# 19
FeC3: relaxed, GGA-PBE.

Calculated values
- DOS at the Fermi energy (states/eV/cell) = 4.222
- energy above the most stable polymorph in this dataset (meV/atom) = 96

Unit cell a=6.5525 b=6.5525 c=2.5381 alpha=90.00 beta=90.00 gamma=142.49
Last column: nearest neighbours and their distance in Å.
Element x y z (fractional)
Fe1 0.4211 0.5789 0.2500  4 C 2.13-2.22, 2 Fe 2.33
Fe2 0.5789 0.4211 0.7500  4 C 2.13-2.22, 2 Fe 2.33
C1 0.0236 0.9764 0.7500  2 C 1.40
C2 0.9764 0.0236 0.2500  2 C 1.40
C3 0.5732 0.0911 0.7500  3 C 1.41-1.46
C4 0.4268 0.9089 0.2500  3 C 1.41-1.46
C5 0.9089 0.4268 0.7500  3 C 1.41-1.46
C6 0.0911 0.5732 0.2500  3 C 1.41-1.46

# 20
FeC2: relaxed, GGA-PBE.

Calculated values
- DOS at the Fermi energy (states/eV/cell) = 3.529
- energy above the most stable polymorph in this dataset (meV/atom) = 497

Unit cell a=3.8436 b=3.8436 c=3.8436 alpha=112.85 beta=112.85 gamma=102.92
Last column: nearest neighbours and their distance in Å.
Element x y z (fractional)
Fe1 0.2500 0.2500 0.0000  8 C 2.07
Fe2 0.7500 0.7500 0.0000  8 C 2.07
C1 0.3798 0.8798 0.2596  1 C 1.45
C2 0.6202 0.1202 0.7404  1 C 1.45
C3 0.1202 0.3798 0.5000  1 C 1.45
C4 0.8798 0.6202 0.5000  1 C 1.45

# 21
FeC: relaxed, GGA-PBE.

Calculated values
- DOS at the Fermi energy (states/eV/cell) = 2.385

Unit cell a=3.0307 b=3.0307 c=7.0942 alpha=87.57 beta=87.57 gamma=51.32
Last column: nearest neighbours and their distance in Å.
Element x y z (fractional)
Fe1 0.6765 0.6765 0.7502  3 C 1.81-1.92
Fe2 0.9593 0.9593 0.4282  5 C 1.89-1.97
Fe3 0.7830 0.7830 0.0939  5 C 1.87-1.96
C1 0.0881 0.0881 0.9628  5 Fe 1.87-2.04
C2 0.2698 0.2698 0.3000  5 Fe 1.89-1.96
C3 0.3900 0.3900 0.6316  5 Fe 1.81-1.97

# 22
Fe2C: relaxed, GGA-PBE.

Calculated values
- DOS at the Fermi energy (states/eV/cell) = 3.052

Unit cell a=2.6168 b=2.6168 c=4.7725 alpha=90.00 beta=90.00 gamma=120.00
Last column: nearest neighbours and their distance in Å.
Element x y z (fractional)
C1 0.3333 0.6667 0.5000  6 Fe 1.97
Fe1 0.0000 0.0000 0.2366  3 C 1.97
Fe2 0.0000 0.0000 0.7634  3 C 1.97

# 23
Fe3C4: relaxed, GGA-PBE.

Calculated values
- DOS at the Fermi energy (states/eV/cell) = 5.367
- energy above the most stable polymorph in this dataset (meV/atom) = 0

Unit cell a=5.3245 b=5.3245 c=2.5773 alpha=90.00 beta=90.00 gamma=120.00
Last column: nearest neighbours and their distance in Å.
Element x y z (fractional)
Fe1 0.0000 0.5000 0.0000  4 C 2.01
Fe2 0.5000 0.5000 0.0000  4 C 2.01
Fe3 0.5000 0.0000 0.0000  4 C 2.01
C1 0.0000 0.0000 0.2498  2 C 1.29
C2 0.0000 0.0000 0.7502  2 C 1.29
C3 0.6667 0.3333 0.5000  6 Fe 2.01
C4 0.3333 0.6667 0.5000  6 Fe 2.01

# 24
FeC: relaxed, GGA-PBE.

Calculated values
- DOS at the Fermi energy (states/eV/cell) = 3.327

Unit cell a=3.8036 b=3.8036 c=3.8036 alpha=90.00 beta=90.00 gamma=90.00
Last column: nearest neighbours and their distance in Å.
Element x y z (fractional)
Fe1 0.0000 0.5000 0.0000  4 C 1.90
Fe2 0.0000 0.0000 0.5000  4 C 1.90
Fe3 0.5000 0.0000 0.0000  4 C 1.90
C1 0.5000 0.0000 0.5000  4 Fe 1.90
C2 0.5000 0.5000 0.0000  4 Fe 1.90
C3 0.0000 0.5000 0.5000  4 Fe 1.90

# 25
FeC2: relaxed, GGA-PBE.

Calculated values
- DOS at the Fermi energy (states/eV/cell) = 1.939
- energy above the most stable polymorph in this dataset (meV/atom) = 246

Unit cell a=2.5001 b=2.7041 c=3.3886 alpha=90.00 beta=90.00 gamma=90.00
Last column: nearest neighbours and their distance in Å.
Element x y z (fractional)
C1 0.5000 0.0000 0.4594  2 C 1.47
C2 0.0000 0.0000 0.6860  2 C 1.47
Fe1 0.0000 0.5000 0.1489  8 C 2.07-2.27

# 26
FeC3: relaxed, GGA-PBE.

Calculated values
- DOS at the Fermi energy (states/eV/cell) = 3.258
- energy above the most stable polymorph in this dataset (meV/atom) = 984

Unit cell a=4.0911 b=4.0789 c=4.2210 alpha=90.00 beta=90.00 gamma=90.00
Last column: nearest neighbours and their distance in Å.
Element x y z (fractional)
Fe1 0.0000 0.0000 0.7554  2 C 1.85
Fe2 0.5000 0.5000 0.2446  2 C 1.85
C1 0.5000 0.0000 0.6315  2 C 1.49
C2 0.0000 0.5000 0.3685  2 C 1.49
C3 0.0000 0.6731 0.0583  2 C 1.41-1.49
C4 0.0000 0.3269 0.0583  2 C 1.41-1.49
C5 0.5000 0.1731 0.9417  2 C 1.41-1.49
C6 0.5000 0.8269 0.9417  2 C 1.41-1.49

Values of formation energy from the elements, in order: 18.64; 17.04; 49.04; 40.55; 19.99; 16.14; 43.29; 39.89; 11.77; 4.18; 3.18; 13.20; 14.10; 14.17; 32.28; 42.40; 27.32; 20.01; 15.38; 23.42; 11.76; 10.06; 18.98; 17.73; 17.62; 35.87, all in kcal/mol of atoms.